Arrangement 1

PmSm2Sn2 | PBE-GGA | optimized geometry

a = 5.1673 Å, b = 5.1673 Å, c = 13.1058 Å
α = 90.00°, β = 90.00°, γ = 120.00°
Fractional positions:
Sn 0.6667 0.3333 0.1278
Sn 0.3333 0.6667 0.8722
Sn 0.3333 0.6667 0.6278
Sn 0.6667 0.3333 0.3722
Sm 0.3333 0.6667 0.2500
Sm 0.6667 0.3333 0.7500
Sm 0.0000 0.0000 0.5000
Sm 0.0000 0.0000 0.0000
Pm 0.0000 0.0000 0.7500
Pm 0.0000 0.0000 0.2500

Arrangement 2

PmSm2Sn2 | PBE-GGA | optimized geometry

a = 4.9855 Å, b = 6.6090 Å, c = 9.7534 Å
α = 90.00°, β = 104.81°, γ = 90.00°
Fractional positions:
Sm 0.1894 0.9759 0.3788
Sm 0.8106 0.4759 0.6212
Sm 0.0004 0.2275 0.0008
Sm 0.9996 0.7275 0.9992
Sn 0.5748 0.9774 0.1496
Sn 0.4252 0.4774 0.8504
Sn 0.1974 0.4755 0.3948
Sn 0.8026 0.9755 0.6052
Pm 0.6047 0.4780 0.2094
Pm 0.3953 0.9780 0.7906

It is arrangement 2 that is most stable; the runner-up trails by 320 meV/atom.

Arrangement 1

Pm2SmSn2 | PBE-GGA | optimized geometry

a = 4.4575 Å, b = 8.2706 Å, c = 8.2706 Å
α = 90.00°, β = 90.00°, γ = 90.00°
Fractional positions:
Sm 0.0000 0.0000 0.0000
Sm 0.0000 0.5000 0.5000
Pm 0.5000 0.1707 0.6707
Pm 0.5000 0.3293 0.1707
Pm 0.5000 0.8293 0.3293
Pm 0.5000 0.6707 0.8293
Sn 0.0000 0.3702 0.8702
Sn 0.0000 0.6298 0.1298
Sn 0.0000 0.1298 0.3702
Sn 0.0000 0.8702 0.6298

Arrangement 2

Pm2SmSn2 | PBE-GGA | optimized geometry

a = 8.1603 Å, b = 8.1603 Å, c = 6.0670 Å
α = 111.76°, β = 111.76°, γ = 96.35°
Fractional positions:
Sm 0.8812 0.1188 0.7500
Sm 0.1188 0.8812 0.2500
Pm 0.5537 0.7771 0.9146
Pm 0.2229 0.4463 0.5854
Pm 0.4463 0.2229 0.0854
Pm 0.7771 0.5537 0.4146
Sn 0.3780 0.6220 0.2500
Sn 0.1460 0.8540 0.7500
Sn 0.8540 0.1460 0.2500
Sn 0.6220 0.3780 0.7500

It is arrangement 1 that is most stable; the runner-up trails by 288 meV/atom.

Arrangement 1

Pm3SmSn2 | PBE-GGA | optimized geometry

a = 4.6183 Å, b = 4.6183 Å, c = 8.7728 Å
α = 90.00°, β = 90.00°, γ = 90.00°
Fractional positions:
Sn 0.5000 0.0000 0.7201
Sn 0.0000 0.5000 0.2799
Pm 0.5000 0.0000 0.3503
Pm 0.0000 0.0000 0.0000
Pm 0.0000 0.5000 0.6497
Sm 0.5000 0.5000 0.0000

Arrangement 2

Pm3SmSn2 | PBE-GGA | optimized geometry

a = 7.4602 Å, b = 7.7317 Å, c = 9.1448 Å
α = 115.01°, β = 114.07°, γ = 90.00°
Fractional positions:
Sn 0.5448 0.3587 0.7175
Sn 0.8273 0.1413 0.2825
Sn 0.1727 0.8587 0.7175
Sn 0.4552 0.6413 0.2825
Sm 0.0000 0.0000 0.0000
Sm 0.0000 0.5000 0.0000
Pm 0.2135 0.4635 0.4270
Pm 0.7865 0.5365 0.5730
Pm 0.5000 0.7500 0.0000
Pm 0.5000 0.2500 0.0000
Pm 0.2135 0.9635 0.4270
Pm 0.7865 0.0365 0.5730

It is arrangement 1 that is most stable; the runner-up trails by 241 meV/atom.

Arrangement 1

PmSmSnTe | PBE-GGA | optimized geometry

a = 5.4788 Å, b = 5.4788 Å, c = 5.4788 Å
α = 60.00°, β = 60.00°, γ = 60.00°
Fractional positions:
Sn 0.2500 0.2500 0.2500
Te 0.7500 0.7500 0.7500
Pm 0.0000 0.0000 0.0000
Sm 0.5000 0.5000 0.5000

Arrangement 2

PmSmSnTe | PBE-GGA | optimized geometry

a = 4.4753 Å, b = 4.4753 Å, c = 7.8101 Å
α = 73.35°, β = 73.35°, γ = 60.00°
Fractional positions:
Pm 0.9474 0.9474 0.1579
Te 0.1936 0.1936 0.4191
Sm 0.4409 0.4409 0.6774
Sn 0.6945 0.6945 0.9164

It is arrangement 2 that is most stable; the runner-up trails by 267 meV/atom.

Arrangement 1

SrPmSm2 | PBE-GGA | optimized geometry

a = 3.7415 Å, b = 3.7415 Å, c = 12.5612 Å
α = 81.44°, β = 81.44°, γ = 60.00°
Fractional positions:
Sm 0.2556 0.2556 0.2331
Sm 0.0776 0.0776 0.7671
Sr 0.5005 0.5005 0.4985
Pm 0.6663 0.6663 0.0012

Arrangement 2

SrPmSm2 | PBE-GGA | optimized geometry

a = 5.2966 Å, b = 5.2938 Å, c = 5.2938 Å
α = 90.00°, β = 90.00°, γ = 90.00°
Fractional positions:
Sr 0.5000 0.5000 0.5000
Pm 0.5000 0.0000 0.0000
Sm 0.0000 0.0000 0.5000
Sm 0.0000 0.5000 0.0000

It is arrangement 1 that is most stable; the runner-up trails by 67 meV/atom.

Arrangement 1

SrPmSm2 | PBE-GGA | optimized geometry

a = 3.7399 Å, b = 3.7399 Å, c = 10.7905 Å
α = 90.00°, β = 90.00°, γ = 90.00°
Fractional positions:
Sm 0.0000 0.0000 0.7755
Sm 0.0000 0.0000 0.2245
Sr 0.5000 0.5000 0.5000
Pm 0.5000 0.5000 0.0000

Arrangement 2

SrPmSm2 | PBE-GGA | optimized geometry

a = 3.6736 Å, b = 3.6736 Å, c = 13.1999 Å
α = 82.00°, β = 82.00°, γ = 60.00°
Fractional positions:
Sr 0.0000 0.0000 0.0000
Sm 0.9077 0.9077 0.2768
Sm 0.0923 0.0923 0.7232
Pm 0.5000 0.5000 0.5000

It is arrangement 1 that is most stable; the runner-up trails by 95 meV/atom.

Arrangement 1

TbPm4Sm | PBE-GGA | optimized geometry

a = 6.6781 Å, b = 6.6781 Å, c = 6.6781 Å
α = 60.00°, β = 60.00°, γ = 60.00°
Fractional positions:
Tb 0.0000 0.0000 0.0000
Pm 0.6253 0.1240 0.6253
Pm 0.6253 0.6253 0.6253
Pm 0.1240 0.6253 0.6253
Pm 0.6253 0.6253 0.1240
Sm 0.2500 0.2500 0.2500

Arrangement 2

TbPm4Sm | PBE-GGA | optimized geometry

a = 6.3770 Å, b = 6.3770 Å, c = 6.0761 Å
α = 89.89°, β = 89.89°, γ = 55.59°
Fractional positions:
Tb 0.0000 0.0000 0.0000
Pm 0.1722 0.1722 0.4573
Pm 0.3277 0.3277 0.9576
Pm 0.8278 0.8278 0.5427
Pm 0.6723 0.6723 0.0424
Sm 0.5000 0.5000 0.5000

It is arrangement 2 that is most stable; the runner-up trails by 151 meV/atom.

Arrangement 1

TbPm5Sm5 | PBE-GGA | optimized geometry

a = 6.9990 Å, b = 8.7558 Å, c = 9.7235 Å
α = 44.11°, β = 89.07°, γ = 104.95°
Fractional positions:
Sm 0.6873 0.9560 0.6805
Sm 0.3127 0.0440 0.3195
Sm 0.3511 0.4956 0.7768
Sm 0.6489 0.5044 0.2232
Sm 0.0000 0.5000 0.5000
Pm 0.8533 0.5080 0.8538
Pm 0.7690 0.9132 0.3541
Pm 0.2310 0.0868 0.6459
Pm 0.1467 0.4920 0.1462
Pm 0.5000 0.0000 0.0000
Tb 0.0000 0.0000 0.0000

Arrangement 2

TbPm5Sm5 | PBE-GGA | optimized geometry

a = 6.1897 Å, b = 6.1897 Å, c = 11.6534 Å
α = 90.00°, β = 90.00°, γ = 120.00°
Fractional positions:
Sm 0.3378 0.1689 0.5000
Sm 0.0000 0.0000 0.2644
Sm 0.8311 0.1689 0.5000
Sm 0.8311 0.6622 0.5000
Sm 0.0000 0.0000 0.7356
Pm 0.6667 0.3333 0.1571
Pm 0.0000 0.0000 0.0000
Pm 0.3333 0.6667 0.3190
Pm 0.3333 0.6667 0.6810
Pm 0.6667 0.3333 0.8429
Tb 0.3333 0.6667 0.0000

It is arrangement 1 that is most stable; the runner-up trails by 160 meV/atom.

Arrangement 1

Tb6Pm3Sm2 | PBE-GGA | optimized geometry

a = 4.7791 Å, b = 4.7791 Å, c = 17.0243 Å
α = 98.07°, β = 98.07°, γ = 90.00°
Fractional positions:
Tb 0.3051 0.3051 0.6102
Tb 0.3793 0.8793 0.7585
Tb 0.6949 0.6949 0.3898
Tb 0.1207 0.6207 0.2415
Tb 0.6207 0.1207 0.2415
Tb 0.8793 0.3793 0.7585
Pm 0.7980 0.7980 0.5961
Pm 0.0000 0.0000 0.0000
Pm 0.2020 0.2020 0.4039
Sm 0.4541 0.4541 0.9083
Sm 0.5459 0.5459 0.0917

Arrangement 2

Tb6Pm3Sm2 | PBE-GGA | optimized geometry

a = 6.1907 Å, b = 6.2016 Å, c = 11.7207 Å
α = 84.87°, β = 79.68°, γ = 60.06°
Fractional positions:
Pm 0.6646 0.6708 0.0000
Pm 0.0000 0.0000 0.0000
Pm 0.3354 0.3292 0.0000
Tb 0.4172 0.6668 0.7485
Tb 0.5828 0.3332 0.2515
Tb 0.7506 0.0000 0.7488
Tb 0.2494 0.0000 0.2512
Tb 0.9160 0.6668 0.2515
Tb 0.0840 0.3332 0.7485
Sm 0.1664 0.6672 0.5000
Sm 0.8336 0.3328 0.5000

It is arrangement 2 that is most stable; the runner-up trails by 74 meV/atom.

Arrangement 1

TbPmSm2 | PBE-GGA | optimized geometry

a = 5.1155 Å, b = 5.1105 Å, c = 5.1105 Å
α = 90.00°, β = 90.00°, γ = 90.00°
Fractional positions:
Tb 0.5000 0.5000 0.5000
Sm 0.0000 0.5000 0.0000
Sm 0.0000 0.0000 0.5000
Pm 0.5000 0.0000 0.0000

Arrangement 2

TbPmSm2 | PBE-GGA | optimized geometry

a = 3.5618 Å, b = 5.6343 Å, c = 6.9315 Å
α = 90.00°, β = 104.89°, γ = 90.00°
Fractional positions:
Sm 0.9485 0.5000 0.8970
Sm 0.3013 0.0000 0.6025
Pm 0.6885 0.5000 0.3771
Tb 0.5617 0.0000 0.1234

It is arrangement 1 that is most stable; the runner-up trails by 29 meV/atom.

Arrangement 1

Tb3Pm5Sm2 | PBE-GGA | optimized geometry

a = 6.8936 Å, b = 12.4530 Å, c = 12.4530 Å
α = 44.57°, β = 73.93°, γ = 73.93°
Fractional positions:
Pm 0.1264 0.4694 0.2777
Pm 0.3736 0.7223 0.5306
Pm 0.2500 0.5000 0.5000
Pm 0.7500 0.5000 0.5000
Pm 0.6264 0.2777 0.4694
Pm 0.5019 0.2481 0.2481
Pm 0.0019 0.2481 0.2481
Pm 0.9981 0.7519 0.7519
Pm 0.4981 0.7519 0.7519
Pm 0.8736 0.5306 0.7223
Tb 0.3786 0.3696 0.8733
Tb 0.7500 0.0000 0.0000
Tb 0.1214 0.1267 0.6304
Tb 0.8786 0.8733 0.3696
Tb 0.2500 0.0000 0.0000
Tb 0.6214 0.6304 0.1267
Sm 0.6225 0.9740 0.7810
Sm 0.3775 0.0260 0.2190
Sm 0.8775 0.2190 0.0260
Sm 0.1225 0.7810 0.9740

Arrangement 2

Tb3Pm5Sm2 | PBE-GGA | optimized geometry

a = 9.8199 Å, b = 9.8517 Å, c = 11.2365 Å
α = 127.48°, β = 127.42°, γ = 67.09°
Fractional positions:
Pm 0.4794 0.7294 0.4587
Pm 0.3919 0.1442 0.7596
Pm 0.5206 0.2706 0.5413
Pm 0.6081 0.8558 0.2404
Pm 0.7209 0.4709 0.9418
Pm 0.0197 0.7697 0.5393
Pm 0.2791 0.5291 0.0582
Pm 0.1323 0.3847 0.2404
Pm 0.9803 0.2303 0.4607
Pm 0.8677 0.6153 0.7596
Tb 0.7303 0.4642 0.2439
Tb 0.9863 0.2203 0.7561
Tb 0.7722 0.0222 0.0444
Tb 0.2697 0.5358 0.7561
Tb 0.2278 0.9778 0.9556
Tb 0.0137 0.7797 0.2439
Sm 0.4686 0.7319 0.7531
Sm 0.7845 0.0212 0.7531
Sm 0.5314 0.2681 0.2469
Sm 0.2155 0.9788 0.2469

It is arrangement 2 that is most stable; the runner-up trails by 182 meV/atom.